one:
Material: CsIrSeO
Method: DFT, PBE
State: relaxed

a = 8.427 Å, b = 6.051 Å, c = 9.100 Å
α = 90.00°, β = 115.53°, γ = 90.00°
Space group P2_1 (No. 4)
Asymmetric unit:
Cs (0.001, 0.000, 0.376) [2 per cell]
Cs (0.394, 0.500, 0.315) [2 per cell]
Ir (0.048, 0.003, 0.997) [2 per cell]
Ir (0.500, 0.250, 0.000) [2 per cell]
Se (0.249, 0.001, 0.858) [2 per cell]
Se (0.445, 0.500, 0.767) [2 per cell]
O (0.070, 0.243, 0.147) [2 per cell]
O (0.071, 0.762, 0.146) [2 per cell]


two:
Material: CsIrSeO
Method: DFT, PBE
State: relaxed

a = 4.645 Å, b = 7.158 Å, c = 7.317 Å
α = 90.00°, β = 90.00°, γ = 90.00°
Space group Pmc2_1 (No. 26)
Asymmetric unit:
Cs (0.000, 0.173, 0.000) [2 per cell]
Ir (0.500, 0.455, 0.448) [2 per cell]
Se (0.000, 0.326, 0.471) [2 per cell]
O (0.500, 0.481, 0.195) [2 per cell]


Consider the structures shown above. The least stable of them is two.